Record 1
# HgSb4Pt

A geometry-optimized HgSb4Pt structure (PBE, Alexandria via LeMat-Bulk).

```
HgSb4Pt
1.0
0.000 4.337 4.337
4.337 0.000 4.337
4.337 4.337 0.000
Hg Sb Pt
1 4 1
Direct
0.000 0.000 0.000 Hg
0.373 0.373 0.373 Sb
0.373 0.373 0.881 Sb
0.373 0.881 0.373 Sb
0.881 0.373 0.373 Sb
0.750 0.750 0.750 Pt
```

DOS at the Fermi energy   6.2 states/eV/f.u.
Final energy   -19.3 eV for the cell shown
Formation energy (no corrections)   3.58 eV per formula unit

Record 2
# K2SiTc

A geometry-optimized K2SiTc structure (PBE, Alexandria via LeMat-Bulk).

```
K2SiTc
1.0
0.000 3.678 3.678
3.678 0.000 3.678
3.678 3.678 0.000
K Si Tc
2 1 1
Direct
0.000 0.000 0.000 K
0.250 0.250 0.250 K
0.750 0.750 0.750 Si
0.500 0.500 0.500 Tc
```

DOS at the Fermi energy   7.1 states/eV/f.u.
Final energy   -13.4 eV for the cell shown
Formation energy (no corrections)   4.58 eV per formula unit

What is the final energy in the second record?
-13.4 eV for the cell shown

Number 1 is which compound?
HgSb4Pt

What is the formation energy (no corrections) in the first record?
3.58 eV per formula unit